(1)
VASP calculation (PBE) on an optimized crystal structure of Gd2PuTe.

```
4
Lattice="3.864 0.000 0.000 0.000 3.864 0.000 0.000 0.000 7.613" Properties=species:S:1:pos:R:3 pbc="T T T"
Gd 0.000 0.000 1.768
Gd 0.000 0.000 5.845
Pu 1.932 1.932 3.807
Te 1.932 1.932 0.000
```

Calculated values
DFT total energy: -11.90 eV/atom
energy relative to the elements, uncorrected: -490 meV per atom
symmetry: P4/mmm
distance to the lowest polymorph of the same formula: 0.0000 eV per atom

***

(2)
VASP calculation (PBE) on an optimized crystal structure of Gd2PuTe.

```
4
Lattice="1.923 1.110 9.894 -1.923 1.110 9.894 0.000 -2.221 9.894" Properties=species:S:1:pos:R:3 pbc="T T T"
Gd 0.000 0.000 7.122
Gd 0.000 0.000 22.561
Pu 0.000 0.000 0.000
Te 0.000 0.000 14.842
```

Calculated values
DFT total energy: -11.81 eV/atom
energy relative to the elements, uncorrected: -401 meV per atom
symmetry: R-3m
distance to the lowest polymorph of the same formula: 0.0886 eV per atom

***

(3)
VASP calculation (PBE) on an optimized crystal structure of GdPu2Th.

```
4
Lattice="4.950 0.000 0.000 0.000 4.950 0.000 0.000 0.000 4.779" Properties=species:S:1:pos:R:3 pbc="T T T"
Gd 0.000 0.000 0.000
Pu 0.000 2.475 2.390
Pu 2.475 0.000 2.390
Th 2.475 2.475 0.000
```

Calculated values
DFT total energy: -12.35 eV/atom
energy of formation: 0.19 eV/atom
symmetry: P4/mmm
distance to the lowest polymorph of the same formula: 0.0000 eV per atom

***

Question: What is the DFT total energy in the first record?
Answer: -11.90 eV/atom

***

Question: The lowest DFT total energy belongs to which entry?
Answer: GdPu2Th

***

Question: Which of these has the highest distance to the lowest polymorph of the same formula?
Answer: number 2